! Mg3In5 (SCAN, PBEsol geometry); values from VASP
&SYSTEM
  ibrav = 0, nat = 16, ntyp = 2
/
ATOMIC_SPECIES
Mg 24.30 Mg.upf
In 114.82 In.upf
ATOMIC_POSITIONS crystal
Mg 0.093 0.500 0.250
Mg 0.094 0.906 0.750
Mg 0.500 0.093 0.750
Mg 0.500 0.907 0.250
Mg 0.906 0.094 0.250
Mg 0.907 0.500 0.750
In 0.167 0.167 0.000
In 0.167 0.167 0.500
In 0.279 0.500 0.750
In 0.279 0.721 0.250
In 0.500 0.279 0.250
In 0.500 0.721 0.750
In 0.721 0.279 0.750
In 0.721 0.500 0.250
In 0.833 0.833 0.000
In 0.833 0.833 0.500
CELL_PARAMETERS angstrom
7.610 -4.407 0.000
7.610 4.407 0.000
0.000 0.000 5.784
! - Space-group type: Cmcm
! - Crystal system: orthorhombic
! - E above lowest polymorph: 5 meV per atom
! - Volume: 24.25 Å³ per atom